{
  "formula": "LiCaHo2",
  "functional": "PBE-GGA",
  "state": "optimized geometry",
  "lattice": [[3.656, 0.000, 0.000], [0.000, 3.656, 0.000], [0.000, 0.000, 9.056]],
  "species": ["Li", "Ca", "Ho", "Ho"],
  "fractional_positions": [[0.000, 0.000, 0.000], [0.000, 0.000, 0.500], [0.500, 0.500, 0.199], [0.500, 0.500, 0.801]],
  "de_polymorph_ev_per_atom": 0.000,
  "m_tot_mub_per_fu": 0.0,
  "dft_energy_ev_per_atom": -3.102,
  "dos_at_fermi_per_ev_cell": 7.3,
  "sg": "No. 123"
}